# CdInIrOs2, relaxed, DFT PBE
# electronic total energy	-4.197	eV/atom
# E_form	2797	meV per atom
data_CdInIrOs2
_chemical_formula_sum 'Cd1 In1 Ir1 Os2'
_cell_length_a 4.8192
_cell_length_b 4.8192
_cell_length_c 4.8310
_cell_angle_alpha 90.00
_cell_angle_beta 90.00
_cell_angle_gamma 90.00
_space_group_name_H-M_alt 'P 4/m m m'
_space_group_IT_number 123
_space_group_name_Hall '-P 4 2'
loop_
_atom_site_label
_atom_site_type_symbol
_atom_site_fract_x
_atom_site_fract_y
_atom_site_fract_z
Cd1 Cd 0.0000 0.0000 0.0000
In1 In 0.0000 0.0000 0.5000
Ir1 Ir 0.5000 0.5000 0.5000
Os1 Os 0.0000 0.5000 0.0000



# BaTcRh2, relaxed, DFT PBE
# electronic total energy	-6.109	eV/atom
# energy above the lowest structure with this stoichiometry	0.474	eV/atom
# E_form	639	meV per atom
data_BaTcRh2
_chemical_formula_sum 'Ba3 Tc3 Rh6'
_cell_length_a 2.9791
_cell_length_b 2.9791
_cell_length_c 29.3145
_cell_angle_alpha 90.00
_cell_angle_beta 90.00
_cell_angle_gamma 120.00
_space_group_name_H-M_alt 'R -3 m'
_space_group_IT_number 166
_space_group_name_Hall '-R 3 2"'
loop_
_atom_site_label
_atom_site_type_symbol
_atom_site_fract_x
_atom_site_fract_y
_atom_site_fract_z
Ba1 Ba 0.0000 0.0000 0.0000
Tc1 Tc 0.0000 0.0000 0.5000
Rh1 Rh 0.0000 0.0000 0.2358



# Pm7Mg2Ni2, relaxed, DFT PBE
# electronic total energy	-4.443	eV/atom
# energy above the lowest structure with this stoichiometry	0.000	eV/atom
# E_form	-79	meV per atom
data_Pm7Mg2Ni2
_chemical_formula_sum 'Pm14 Mg4 Ni4'
_cell_length_a 3.6346
_cell_length_b 15.6848
_cell_length_c 11.0515
_cell_angle_alpha 90.00
_cell_angle_beta 90.00
_cell_angle_gamma 90.00
_space_group_name_H-M_alt 'I m m 2'
_space_group_IT_number 44
_space_group_name_Hall 'I 2 -2'
loop_
_atom_site_label
_atom_site_type_symbol
_atom_site_fract_x
_atom_site_fract_y
_atom_site_fract_z
Pm1 Pm 0.0000 0.0000 0.0000
Pm2 Pm 0.0000 0.1849 0.4756
Pm3 Pm 0.0000 0.3353 0.6925
Pm4 Pm 0.0000 0.3669 0.2778
Mg1 Mg 0.0000 0.0000 0.3025
Mg2 Mg 0.0000 0.5000 0.0241
Ni1 Ni 0.0000 0.1801 0.9691



# FeTeW, relaxed, DFT PBE
# electronic total energy	-7.591	eV/atom
# E_form (uncorrected)	0.5949	eV per atom
# energy above the lowest structure with this stoichiometry	0.000	eV/atom
data_FeTeW
_chemical_formula_sum 'Fe4 Te4 W4'
_cell_length_a 5.9251
_cell_length_b 5.9251
_cell_length_c 5.9251
_cell_angle_alpha 90.00
_cell_angle_beta 90.00
_cell_angle_gamma 90.00
_space_group_name_H-M_alt 'F -4 3 m'
_space_group_IT_number 216
_space_group_name_Hall 'F -4 2 3'
loop_
_atom_site_label
_atom_site_type_symbol
_atom_site_fract_x
_atom_site_fract_y
_atom_site_fract_z
Fe1 Fe 0.0000 0.0000 0.0000
Te1 Te 0.2500 0.2500 0.2500
W1 W 0.2500 0.2500 0.7500



# RuAu3N, relaxed, DFT PBE
# electronic total energy	-3.021	eV/atom
# E_form (uncorrected)	2.4657	eV per atom
# energy above the lowest structure with this stoichiometry	1.345	eV/atom
data_RuAu3N
_chemical_formula_sum 'Ru1 Au3 N1'
_cell_length_a 4.9710
_cell_length_b 4.9710
_cell_length_c 4.9710
_cell_angle_alpha 90.00
_cell_angle_beta 90.00
_cell_angle_gamma 90.00
_space_group_name_H-M_alt 'P m -3 m'
_space_group_IT_number 221
_space_group_name_Hall '-P 4 2 3'
loop_
_atom_site_label
_atom_site_type_symbol
_atom_site_fract_x
_atom_site_fract_y
_atom_site_fract_z
Ru1 Ru 0.0000 0.0000 0.0000
Au1 Au 0.0000 0.0000 0.5000
N1 N 0.5000 0.5000 0.5000



# Pm2MnCo3H12, relaxed, DFT PBE
# electronic total energy	-4.659	eV/atom
data_Pm2MnCo3H12
_chemical_formula_sum 'Pm6 Mn3 Co9 H36'
_cell_length_a 5.7247
_cell_length_b 5.7247
_cell_length_c 14.2677
_cell_angle_alpha 90.00
_cell_angle_beta 90.00
_cell_angle_gamma 120.00
_space_group_name_H-M_alt 'R -3 m'
_space_group_IT_number 166
_space_group_name_Hall '-R 3 2"'
loop_
_atom_site_label
_atom_site_type_symbol
_atom_site_fract_x
_atom_site_fract_y
_atom_site_fract_z
Pm1 Pm 0.0000 0.0000 0.1201
Mn1 Mn 0.0000 0.0000 0.5000
Co1 Co 0.0000 0.5000 0.0000
H1 H 0.0282 0.5141 0.1139
H2 H 0.0285 0.5142 0.3445



# BaMgSb2, relaxed, DFT PBE
# electronic total energy	-3.686	eV/atom
# E_form (uncorrected)	-0.7451	eV per atom
data_BaMgSb2
_chemical_formula_sum 'Ba2 Mg2 Sb4'
_cell_length_a 4.5879
_cell_length_b 4.5879
_cell_length_c 12.5709
_cell_angle_alpha 90.00
_cell_angle_beta 90.00
_cell_angle_gamma 90.00
_space_group_name_H-M_alt 'P 4/n m m'
_space_group_IT_number 129
loop_
_space_group_symop_operation_xyz
'x,y,z'
'-x,-y,-z'
'-y+1/2,x,z'
'y+1/2,-x,-z'
'-x+1/2,-y+1/2,z'
'x+1/2,y+1/2,-z'
'y,-x+1/2,z'
'-y,x+1/2,-z'
'x+1/2,-y,-z'
'-x+1/2,y,z'
'-y,-x,-z'
'y,x,z'
'-x,y+1/2,-z'
'x,-y+1/2,z'
'y+1/2,x+1/2,-z'
'-y+1/2,-x+1/2,z'
loop_
_atom_site_label
_atom_site_type_symbol
_atom_site_fract_x
_atom_site_fract_y
_atom_site_fract_z
Ba1 Ba 0.2500 0.2500 0.2233
Mg1 Mg 0.2500 0.7500 0.5000
Sb1 Sb 0.2500 0.2500 0.6417
Sb2 Sb 0.2500 0.7500 0.0000



# PrScTl2, relaxed, DFT PBE
# electronic total energy	-4.295	eV/atom
# E_form	-334	meV per atom
data_PrScTl2
_chemical_formula_sum 'Pr1 Sc1 Tl2'
_cell_length_a 3.7371
_cell_length_b 3.7371
_cell_length_c 7.6513
_cell_angle_alpha 90.00
_cell_angle_beta 90.00
_cell_angle_gamma 90.00
_space_group_name_H-M_alt 'P 4/m m m'
_space_group_IT_number 123
_space_group_name_Hall '-P 4 2'
loop_
_atom_site_label
_atom_site_type_symbol
_atom_site_fract_x
_atom_site_fract_y
_atom_site_fract_z
Pr1 Pr 0.0000 0.0000 0.0000
Sc1 Sc 0.0000 0.0000 0.5000
Tl1 Tl 0.5000 0.5000 0.2776